1.
Compound: AcZnIn2
Source: Alexandria via LeMat-Bulk
Functional: PBE-GGA
Structure: optimized geometry

Calculated values
* final energy: -2.84 eV per atom
* M_tot: 0.00 Bohr magnetons per cell
* formation energy from the elements: -0.12 eV/atom
* theoretical density: 7.670 Mg/m³
* D(E_F): 0.95 states/eV/atom

Cell: 5.4269 5.4269 5.4269 Å, 60.00 60.00 60.00°
Fractional coordinates of all 4 atoms:
1 Ac 0.0000 0.0000 0.0000
2 Zn 0.5000 0.5000 0.5000
3 In 0.2500 0.2500 0.2500
4 In 0.7500 0.7500 0.7500

2.
Compound: Mg6MnCd
Source: Alexandria via LeMat-Bulk
Functional: PBE-GGA
Structure: optimized geometry

Calculated values
* final energy: -2.39 eV per atom
* M_tot: 3.65 Bohr magnetons per cell
* formation energy from the elements: 0.06 eV/atom
* theoretical density: 3.101 Mg/m³
* D(E_F): 0.46 states/eV/atom

Cell: 5.0063 6.2211 6.2211 Å, 59.94 90.00 90.00°
Fractional coordinates of all 8 atoms:
1 Mg 0.0000 0.0000 0.0000
2 Mg 0.0000 0.5028 0.9890
3 Mg 0.0000 0.9890 0.5028
4 Mg 0.5000 0.1664 0.1664
5 Mg 0.5000 0.1676 0.6647
6 Mg 0.5000 0.6647 0.1676
7 Mn 0.5000 0.6666 0.6666
8 Cd 0.0000 0.5040 0.5040

Question: Which formula does entry 1 have?
Answer: AcZnIn2